Entry A
The following is a DFT calculation (GGA-PBEsol) of an optimized crystal structure of MnTl2Pb.

It has space group Amm2 (No. 38), with a = 4.292 Å, b = 3.461 Å, c = 13.330 Å, α = 90.00°, β = 90.00° and γ = 90.00°. The inequivalent atoms are Mn at (0.000, 0.000, 0.000), Tl at (0.000, 0.000, 0.225), Tl at (0.500, 0.000, 0.851) and Pb at (0.500, 0.000, 0.564).

The density of states at the Fermi level comes out at 2.12 states/eV/f.u. Its total magnetic moment is 0.95 μB/atom.

=====

Entry B
The following is a DFT calculation (GGA-PBEsol) of an optimized crystal structure of MnTl2Pb.

It has space group R-3m (No. 166, hexagonal axes), with a = 3.3607 Å, b = 3.3607 Å, c = 29.8359 Å, α = 90.00°, β = 90.00° and γ = 120.00°. The inequivalent atoms are Mn at (0.0000, 0.0000, 0.0000), Tl at (0.0000, 0.0000, 0.2610) and Pb at (0.0000, 0.0000, 0.5000).

The density of states at the Fermi level comes out at 2.18 states/eV/f.u. Its total magnetic moment is 1.02 μB/atom.

=====

entry A comes first in stability; the runner-up is 0.019 eV/atom higher.

=====

Entry A
The following is a DFT calculation (GGA-PBEsol) of an optimized crystal structure of MnTl2Pb.

It has space group C2/m (No. 12), with a = 12.136 Å, b = 3.334 Å, c = 5.281 Å, α = 90.00°, β = 115.32° and γ = 90.00°. The inequivalent atoms are Mn at (0.000, 0.000, 0.000), Tl at (0.217, 0.500, 0.217) and Pb at (0.000, 0.500, 0.500).

The density of states at the Fermi level comes out at 2.79 states/eV/f.u. Its total magnetic moment is 0.99 μB/atom.

=====

Entry B
The following is a DFT calculation (GGA-PBEsol) of an optimized crystal structure of MnTl2Pb.

It has space group Cmm2 (No. 35), with a = 4.700 Å, b = 4.716 Å, c = 8.749 Å, α = 90.00°, β = 90.00° and γ = 90.00°. The inequivalent atoms are Mn at (0.000, 0.000, 0.000), Tl at (0.000, 0.000, 0.514), Tl at (0.000, 0.500, 0.801) and Pb at (0.000, 0.500, 0.208).

The density of states at the Fermi level comes out at 2.44 states/eV/f.u. Its total magnetic moment is 0.95 μB/atom.

=====

entry B comes first in stability; the runner-up is 0.058 eV/atom higher.

=====

Entry A
The following is a DFT calculation (GGA-PBEsol) of an optimized crystal structure of MnTc2Pt.

It has space group Amm2 (No. 38), with a = 4.109 Å, b = 2.636 Å, c = 9.990 Å, α = 90.00°, β = 90.00° and γ = 90.00°. The inequivalent atoms are Mn at (0.000, 0.000, 0.000), Tc at (0.000, 0.000, 0.758), Tc at (0.500, 0.000, 0.402) and Pt at (0.500, 0.000, 0.139).

The density of states at the Fermi level comes out at 3.56 states/eV/f.u. Its total magnetic moment is 0.36 μB/atom.

=====

Entry B
The following is a DFT calculation (GGA-PBEsol) of an optimized crystal structure of MnTc2Pt.

It has space group Pmm2 (No. 25), with a = 2.664 Å, b = 3.792 Å, c = 5.380 Å, α = 90.00°, β = 90.00° and γ = 90.00°. The inequivalent atoms are Mn at (0.000, 0.000, 0.000), Tc at (0.000, 0.000, 0.524), Tc at (0.500, 0.500, 0.761) and Pt at (0.500, 0.500, 0.252).

The density of states at the Fermi level comes out at 4.19 states/eV/f.u. Its total magnetic moment is 0.46 μB/atom.

=====

entry B comes first in stability; the runner-up is 0.029 eV/atom higher.

=====

Entry A
The following is a DFT calculation (GGA-PBEsol) of an optimized crystal structure of MnTcPt2.

It has space group P4mm (No. 99), with a = 3.229 Å, b = 3.229 Å, c = 5.454 Å, α = 90.00°, β = 90.00° and γ = 90.00°. The inequivalent atoms are Mn at (0.000, 0.000, 0.000), Tc at (0.500, 0.500, 0.752), Pt at (0.000, 0.000, 0.506) and Pt at (0.500, 0.500, 0.234).

The density of states at the Fermi level comes out at 5.06 states/eV/f.u. Its total magnetic moment is 0.63 μB/atom.

=====

Entry B
The following is a DFT calculation (GGA-PBEsol) of an optimized crystal structure of MnTcPt2.

It has space group C2/m (No. 12), with a = 8.996 Å, b = 2.734 Å, c = 4.646 Å, α = 90.00°, β = 100.18° and γ = 90.00°. The inequivalent atoms are Mn at (0.000, 0.000, 0.000), Tc at (0.000, 0.500, 0.500) and Pt at (0.250, 0.000, 0.749).

The density of states at the Fermi level comes out at 3.51 states/eV/f.u. Its total magnetic moment is 0.72 μB/atom.

=====

Entry C
The following is a DFT calculation (GGA-PBEsol) of an optimized crystal structure of MnTcPt2.

It has space group I-4m2 (No. 119), with a = 3.817 Å, b = 3.817 Å, c = 7.641 Å, α = 90.00°, β = 90.00° and γ = 90.00°. The inequivalent atoms are Mn at (0.000, 0.000, 0.000), Tc at (0.000, 0.500, 0.750), Pt at (0.000, 0.000, 0.500) and Pt at (0.000, 0.500, 0.250).

The density of states at the Fermi level comes out at 4.23 states/eV/f.u. Its total magnetic moment is 0.54 μB/atom.

=====

entry C comes first in stability; the runner-up is 0.057 eV/atom higher.

=====

Entry A
The following is a DFT calculation (GGA-PBEsol) of an optimized crystal structure of MnTl2Pt.

It has space group P2/m (No. 10), with a = 3.269 Å, b = 4.623 Å, c = 5.178 Å, α = 90.00°, β = 92.07° and γ = 90.00°. The inequivalent atoms are Mn at (0.000, 0.000, 0.000), Tl at (0.260, 0.500, 0.750) and Pt at (0.500, 0.000, 0.500).

The density of states at the Fermi level comes out at 2.16 states/eV/f.u. Its total magnetic moment is 0.97 μB/atom.

=====

Entry B
The following is a DFT calculation (GGA-PBEsol) of an optimized crystal structure of MnTl2Pt.

It has space group Fm-3m (No. 225), with a = 6.682 Å, b = 6.682 Å, c = 6.682 Å, α = 90.00°, β = 90.00° and γ = 90.00°. The inequivalent atoms are Mn at (0.000, 0.000, 0.000), Tl at (0.250, 0.250, 0.250) and Pt at (0.000, 0.000, 0.500).

The density of states at the Fermi level comes out at 2.49 states/eV/f.u. Its total magnetic moment is 0.98 μB/atom.

=====

Entry C
The following is a DFT calculation (GGA-PBEsol) of an optimized crystal structure of MnTl2Pt.

It has space group P4mm (No. 99), with a = 3.278 Å, b = 3.278 Å, c = 7.603 Å, α = 90.00°, β = 90.00° and γ = 90.00°. The inequivalent atoms are Mn at (0.000, 0.000, 0.000), Tl at (0.000, 0.000, 0.412), Tl at (0.500, 0.500, 0.748) and Pt at (0.500, 0.500, 0.157).

The density of states at the Fermi level comes out at 1.94 states/eV/f.u. Its total magnetic moment is 1.07 μB/atom.

=====

entry C comes first in stability; the runner-up is 0.171 eV/atom higher.

=====

Entry A
The following is a DFT calculation (GGA-PBEsol) of an optimized crystal structure of MnTlPt.

It has space group F-43m (No. 216), with a = 6.245 Å, b = 6.245 Å, c = 6.245 Å, α = 90.00°, β = 90.00° and γ = 90.00°. The inequivalent atoms are Mn at (0.000, 0.000, 0.000), Tl at (0.000, 0.000, 0.500) and Pt at (0.250, 0.250, 0.750).

The density of states at the Fermi level comes out at 2.57 states/eV/f.u. Its total magnetic moment is 1.39 μB/atom.

=====

Entry B
The following is a DFT calculation (GGA-PBEsol) of an optimized crystal structure of MnTlPt.

It has space group I4mm (No. 107), with a = 3.435 Å, b = 3.435 Å, c = 8.793 Å, α = 90.00°, β = 90.00° and γ = 90.00°. The inequivalent atoms are Mn at (0.000, 0.000, 0.000), Tl at (0.000, 0.000, 0.682) and Pt at (0.000, 0.000, 0.361).

The density of states at the Fermi level comes out at 0.99 states/eV/f.u. Its total magnetic moment is 1.45 μB/atom.

=====

entry B comes first in stability; the runner-up is 0.082 eV/atom higher.

=====

Entry A
The following is a DFT calculation (GGA-PBEsol) of an optimized crystal structure of MnPtW2.

It has space group I4/mmm (No. 139), with a = 3.808 Å, b = 3.808 Å, c = 7.851 Å, α = 90.00°, β = 90.00° and γ = 90.00°. The inequivalent atoms are Mn at (0.000, 0.000, 0.000), Pt at (0.000, 0.000, 0.500) and W at (0.000, 0.500, 0.250).

The density of states at the Fermi level comes out at 2.81 states/eV/f.u. Its total magnetic moment is 0.28 μB/atom.

=====

Entry B
The following is a DFT calculation (GGA-PBEsol) of an optimized crystal structure of MnPtW2.

It has space group P4/mmm (No. 123), with a = 3.814 Å, b = 3.814 Å, c = 3.913 Å, α = 90.00°, β = 90.00° and γ = 90.00°. The inequivalent atoms are Mn at (0.000, 0.000, 0.000), Pt at (0.500, 0.500, 0.000) and W at (0.000, 0.500, 0.500).

The density of states at the Fermi level comes out at 3.15 states/eV/f.u. Its total magnetic moment is 0.26 μB/atom.

=====

entry B comes first in stability; the runner-up is 0.006 eV/atom higher.

=====

Entry A
The following is a DFT calculation (GGA-PBEsol) of an optimized crystal structure of MnPtW2.

It has space group Pm (No. 6), with a = 2.672 Å, b = 4.406 Å, c = 4.888 Å, α = 90.00°, β = 93.87° and γ = 90.00°. The inequivalent atoms are Mn at (0.000, 0.000, 0.000), Pt at (0.985, 0.500, 0.309), W at (0.404, 0.500, 0.823) and W at (0.553, 0.000, 0.509).

The density of states at the Fermi level comes out at 3.29 states/eV/f.u. Its total magnetic moment is 0.44 μB/atom.

=====

Entry B
The following is a DFT calculation (GGA-PBEsol) of an optimized crystal structure of MnPtW2.

It has space group P4mm (No. 99), with a = 3.182 Å, b = 3.182 Å, c = 5.770 Å, α = 90.00°, β = 90.00° and γ = 90.00°. The inequivalent atoms are Mn at (0.000, 0.000, 0.000), Pt at (0.500, 0.500, 0.248), W at (0.000, 0.000, 0.510) and W at (0.500, 0.500, 0.774).

The density of states at the Fermi level comes out at 4.26 states/eV/f.u. Its total magnetic moment is 0.58 μB/atom.

=====

entry A comes first in stability; the runner-up is 0.034 eV/atom higher.

=====

Entry A
The following is a DFT calculation (GGA-PBEsol) of an optimized crystal structure of Mn2PtW.

It has space group I-4m2 (No. 119), with a = 3.701 Å, b = 3.701 Å, c = 7.626 Å, α = 90.00°, β = 90.00° and γ = 90.00°. The inequivalent atoms are Mn at (0.000, 0.000, 0.000), Mn at (0.000, 0.500, 0.250), Pt at (0.000, 0.000, 0.500) and W at (0.000, 0.500, 0.750).

The density of states at the Fermi level comes out at 3.38 states/eV/f.u. Its total magnetic moment is 0.06 μB/atom.

=====

Entry B
The following is a DFT calculation (GGA-PBEsol) of an optimized crystal structure of Mn2PtW.

It has space group Fm-3m (No. 225), with a = 6.008 Å, b = 6.008 Å, c = 6.008 Å, α = 90.00°, β = 90.00° and γ = 90.00°. The inequivalent atoms are Mn at (0.250, 0.250, 0.250), Pt at (0.000, 0.000, 0.000) and W at (0.000, 0.000, 0.500).

The density of states at the Fermi level comes out at 3.73 states/eV/f.u. Its total magnetic moment is 1.33 μB/atom.

=====

entry A comes first in stability; the runner-up is 0.065 eV/atom higher.

=====

Entry A
The following is a DFT calculation (GGA-PBEsol) of an optimized crystal structure of MnPtW.

It has space group P3m1 (No. 156), with a = 4.2737 Å, b = 4.2737 Å, c = 2.6612 Å, α = 90.00°, β = 90.00° and γ = 120.00°. The inequivalent atoms are Mn at (0.0000, 0.0000, 0.0000), Pt at (0.3333, 0.6667, 0.4055) and W at (0.6667, 0.3333, 0.8538).

The density of states at the Fermi level comes out at 2.86 states/eV/f.u. Its total magnetic moment is 0.57 μB/atom.

=====

Entry B
The following is a DFT calculation (GGA-PBEsol) of an optimized crystal structure of MnPtW.

It has space group Imm2 (No. 44), with a = 2.685 Å, b = 3.775 Å, c = 8.289 Å, α = 90.00°, β = 90.00° and γ = 90.00°. The inequivalent atoms are Mn at (0.000, 0.000, 0.000), Pt at (0.000, 0.000, 0.666) and W at (0.000, 0.000, 0.341).

The density of states at the Fermi level comes out at 2.31 states/eV/f.u. Its total magnetic moment is 0.69 μB/atom.

=====

entry B comes first in stability; the runner-up is 0.144 eV/atom higher.

=====

Entry A
The following is a DFT calculation (GGA-PBEsol) of an optimized crystal structure of YMn2Pt.

It has space group P4/mmm (No. 123), with a = 3.269 Å, b = 3.269 Å, c = 6.509 Å, α = 90.00°, β = 90.00° and γ = 90.00°. The inequivalent atoms are Y at (0.000, 0.000, 0.000), Mn at (0.500, 0.500, 0.297) and Pt at (0.000, 0.000, 0.500).

The density of states at the Fermi level comes out at 3.97 states/eV/f.u. Its total magnetic moment is 1.84 μB/atom.

=====

Entry B
The following is a DFT calculation (GGA-PBEsol) of an optimized crystal structure of YMn2Pt.

It has space group P4mm (No. 99), with a = 3.137 Å, b = 3.137 Å, c = 6.681 Å, α = 90.00°, β = 90.00° and γ = 90.00°. The inequivalent atoms are Y at (0.000, 0.000, 0.000), Mn at (0.000, 0.000, 0.483), Mn at (0.500, 0.500, 0.309) and Pt at (0.500, 0.500, 0.708).

The density of states at the Fermi level comes out at 3.25 states/eV/f.u. Its total magnetic moment is 0.34 μB/atom.

=====

Entry C
The following is a DFT calculation (GGA-PBEsol) of an optimized crystal structure of YMn2Pt.

It has space group R-3m (No. 166, hexagonal axes), with a = 2.9701 Å, b = 2.9701 Å, c = 27.4127 Å, α = 90.00°, β = 90.00° and γ = 120.00°. The inequivalent atoms are Y at (0.0000, 0.0000, 0.0000), Mn at (0.0000, 0.0000, 0.2408) and Pt at (0.0000, 0.0000, 0.5000).

The density of states at the Fermi level comes out at 4.20 states/eV/f.u. Its total magnetic moment is 1.89 μB/atom.

=====

entry B comes first in stability; the runner-up is 0.227 eV/atom higher.

=====

Entry A
The following is a DFT calculation (GGA-PBEsol) of an optimized crystal structure of MnRe5.

It has space group Amm2 (No. 38), with a = 4.381 Å, b = 2.725 Å, c = 14.074 Å, α = 90.00°, β = 90.00° and γ = 90.00°. The inequivalent atoms are Mn at (0.000, 0.000, 0.000), Re at (0.000, 0.000, 0.339), Re at (0.000, 0.000, 0.663), Re at (0.500, 0.000, 0.110), Re at (0.500, 0.000, 0.448) and Re at (0.500, 0.000, 0.779).

The density of states at the Fermi level comes out at 5.79 states/eV/f.u. Its total magnetic moment is 0.00 μB/atom.

=====

Entry B
The following is a DFT calculation (GGA-PBEsol) of an optimized crystal structure of MnRe5.

It has space group P-62m (No. 189), with a = 4.7075 Å, b = 4.7075 Å, c = 4.3776 Å, α = 90.00°, β = 90.00° and γ = 120.00°. The inequivalent atoms are Mn at (0.0000, 0.0000, 0.0000), Re at (0.0000, 0.6738, 0.5000) and Re at (0.3333, 0.6667, 0.0000).

The density of states at the Fermi level comes out at 6.08 states/eV/f.u. Its total magnetic moment is 0.00 μB/atom.

=====

entry B comes first in stability; the runner-up is 0.007 eV/atom higher.